Computed, not measured: an optimized crystal structure of NbSnRh2 at the PBE level of DFT.

Output
- DFT formation energy: -0.38 eV per atom
- Magnetic moment: 0.000 μB per formula unit
- Symmetry: P4/mmm (123)

POSCAR file:
```
NbSnRh2
1.0
2.9732 0.0000 0.0000
0.0000 2.9732 0.0000
0.0000 0.0000 7.4892
Nb Sn Rh
1 1 2
direct
0.0000 0.0000 0.0000 Nb
0.0000 0.0000 0.5000 Sn
0.5000 0.5000 0.2539 Rh
0.5000 0.5000 0.7461 Rh
```

---

Computed, not measured: an optimized crystal structure of Nb3SnRh at the PBE level of DFT.

Output
- Excess energy over the best structure of this formula in the dataset: 1118.0 meV/atom
- DFT formation energy: 1.87 eV per atom
- Magnetic moment: 0.000 μB per formula unit
- Symmetry: Pm-3m (221)

POSCAR file:
```
Nb3SnRh
1.0
4.9712 0.0000 0.0000
0.0000 4.9712 0.0000
0.0000 0.0000 4.9712
Nb Sn Rh
3 1 1
direct
0.0000 0.0000 0.5000 Nb
0.0000 0.5000 0.0000 Nb
0.5000 0.0000 0.0000 Nb
0.0000 0.0000 0.0000 Sn
0.5000 0.5000 0.5000 Rh
```

---

Computed, not measured: an optimized crystal structure of Nb12Sn3Rh at the PBE level of DFT.

Output
- DFT formation energy: -0.21 eV per atom
- Magnetic moment: 0.000 μB per formula unit
- Symmetry: Pmmm (47)

POSCAR file:
```
Nb12Sn3Rh
1.0
5.2793 0.0000 0.0000
0.0000 5.2874 0.0000
0.0000 0.0000 10.6194
Nb Sn Rh
12 3 1
direct
0.0000 0.0000 0.1180 Nb
0.0000 0.0000 0.3702 Nb
0.0000 0.0000 0.6298 Nb
0.0000 0.0000 0.8820 Nb
0.2471 0.5000 0.2431 Nb
0.2471 0.5000 0.7569 Nb
0.5000 0.2457 0.5000 Nb
0.5000 0.2564 0.0000 Nb
0.5000 0.7436 0.0000 Nb
0.5000 0.7543 0.5000 Nb
0.7529 0.5000 0.2431 Nb
0.7529 0.5000 0.7569 Nb
0.0000 0.5000 0.5000 Sn
0.5000 0.0000 0.2514 Sn
0.5000 0.0000 0.7486 Sn
0.0000 0.5000 0.0000 Rh
```

---

Computed, not measured: an optimized crystal structure of NbSnRh2 at the PBE level of DFT.

Output
- DFT formation energy: -0.19 eV per atom
- Magnetic moment: 0.000 μB per formula unit
- Symmetry: R3m (160)

POSCAR file:
```
NbSnRh2
1.0
1.5558 0.8982 8.3419
-1.5558 0.8982 8.3419
0.0000 -1.7965 8.3419
Nb Sn Rh
1 1 2
direct
0.0000 0.0000 0.0000 Nb
0.1664 0.1664 0.1664 Sn
0.4142 0.4142 0.4142 Rh
0.5861 0.5861 0.5861 Rh
```